Entry a
# GGA-PBE RbNaTeN2, relaxed
data_RbNaTeN2
_symmetry_space_group_name_H-M 'P 4/m m m'
_symmetry_Int_Tables_number 123
_symmetry_space_group_name_Hall '-P 4 2'
_cell_length_a 5.381
_cell_length_b 5.381
_cell_length_c 7.119
_cell_angle_alpha 90.00
_cell_angle_beta 90.00
_cell_angle_gamma 90.00
loop_
_atom_site_label
_atom_site_fract_x
_atom_site_fract_y
_atom_site_fract_z
Rb1 0.000 0.000 0.000
Na1 0.500 0.500 0.500
Te1 0.000 0.000 0.500
N1 0.000 0.500 0.000
# **Calculated density**: 2.1 g/cm³
# **Spin magnetization**: 6.029 μB/cell



Entry b
# GGA-PBE RbNaTeN2, relaxed
data_RbNaTeN2
_symmetry_space_group_name_H-M 'P 4/m m m'
_symmetry_Int_Tables_number 123
_symmetry_space_group_name_Hall '-P 4 2'
_cell_length_a 5.185
_cell_length_b 5.185
_cell_length_c 5.930
_cell_angle_alpha 90.00
_cell_angle_beta 90.00
_cell_angle_gamma 90.00
loop_
_atom_site_label
_atom_site_fract_x
_atom_site_fract_y
_atom_site_fract_z
Rb1 0.000 0.000 0.000
Na1 0.500 0.500 0.500
Te1 0.500 0.500 0.000
N1 0.000 0.500 0.500
# **Calculated density**: 2.7 g/cm³
# **Spin magnetization**: 6.031 μB/cell



Stability ranking, top and bottom: entry b is the most stable and entry a is the least stable.



Entry a
# GGA-PBE NaReN2, relaxed
data_NaReN2
_symmetry_space_group_name_H-M 'I -4 2 d'
_symmetry_Int_Tables_number 122
_symmetry_space_group_name_Hall 'I -4 2bw'
_cell_length_a 5.117
_cell_length_b 5.117
_cell_length_c 9.505
_cell_angle_alpha 90.00
_cell_angle_beta 90.00
_cell_angle_gamma 90.00
loop_
_atom_site_label
_atom_site_fract_x
_atom_site_fract_y
_atom_site_fract_z
Na1 0.000 0.000 0.000
Re1 0.000 0.000 0.500
N1 0.142 0.250 0.625
# **Calculated density**: 6.3 g/cm³
# **Spin magnetization**: 0.000 μB/cell



Entry b
# GGA-PBE NaReN2, relaxed
data_NaReN2
_symmetry_space_group_name_H-M 'R 3 m'
_symmetry_Int_Tables_number 160
_symmetry_space_group_name_Hall 'R 3 -2"'
_cell_length_a 2.9635
_cell_length_b 2.9635
_cell_length_c 17.7522
_cell_angle_alpha 90.00
_cell_angle_beta 90.00
_cell_angle_gamma 120.00
loop_
_atom_site_label
_atom_site_fract_x
_atom_site_fract_y
_atom_site_fract_z
Na1 0.0000 0.0000 0.0000
Re1 0.0000 0.0000 0.1700
N1 0.0000 0.0000 0.5705
N2 0.0000 0.0000 0.7691
# **Calculated density**: 8.8 g/cm³
# **Spin magnetization**: 0.000 μB/cell



Stability ranking, top and bottom: entry a is the most stable and entry b is the least stable.



Entry a
# GGA-PBE NaReN2, relaxed
data_NaReN2
_symmetry_space_group_name_H-M 'P 4/m m m'
_symmetry_Int_Tables_number 123
_symmetry_space_group_name_Hall '-P 4 2'
_cell_length_a 2.649
_cell_length_b 2.649
_cell_length_c 5.969
_cell_angle_alpha 90.00
_cell_angle_beta 90.00
_cell_angle_gamma 90.00
loop_
_atom_site_label
_atom_site_fract_x
_atom_site_fract_y
_atom_site_fract_z
Na1 0.000 0.000 0.000
Re1 0.000 0.000 0.500
N1 0.500 0.500 0.301
# **Calculated density**: 9.4 g/cm³
# **Spin magnetization**: 0.000 μB/cell



Entry b
# GGA-PBE NaReN2, relaxed
data_NaReN2
_symmetry_space_group_name_H-M 'F m -3 m'
_symmetry_Int_Tables_number 225
_symmetry_space_group_name_Hall '-F 4 2 3'
_cell_length_a 5.348
_cell_length_b 5.348
_cell_length_c 5.348
_cell_angle_alpha 90.00
_cell_angle_beta 90.00
_cell_angle_gamma 90.00
loop_
_atom_site_label
_atom_site_fract_x
_atom_site_fract_y
_atom_site_fract_z
Na1 0.000 0.000 0.000
Re1 0.000 0.000 0.500
N1 0.250 0.250 0.250
# **Calculated density**: 10.3 g/cm³
# **Spin magnetization**: 6.791 μB/cell



Entry c
# GGA-PBE NaReN2, relaxed
data_NaReN2
_symmetry_space_group_name_H-M 'R -3 m'
_symmetry_Int_Tables_number 166
_symmetry_space_group_name_Hall '-R 3 2"'
_cell_length_a 2.9672
_cell_length_b 2.9672
_cell_length_c 20.4145
_cell_angle_alpha 90.00
_cell_angle_beta 90.00
_cell_angle_gamma 120.00
loop_
_atom_site_label
_atom_site_fract_x
_atom_site_fract_y
_atom_site_fract_z
Na1 0.0000 0.0000 0.0000
Re1 0.0000 0.0000 0.5000
N1 0.0000 0.0000 0.1089
# **Calculated density**: 7.6 g/cm³
# **Spin magnetization**: 0.000 μB/cell



Stability ranking, top and bottom: entry c is the most stable and entry b is the least stable.



Entry a
# GGA-PBE NaReSN2, relaxed
data_NaReSN2
_symmetry_space_group_name_H-M 'P 4/m m m'
_symmetry_Int_Tables_number 123
_symmetry_space_group_name_Hall '-P 4 2'
_cell_length_a 4.082
_cell_length_b 4.082
_cell_length_c 4.840
_cell_angle_alpha 90.00
_cell_angle_beta 90.00
_cell_angle_gamma 90.00
loop_
_atom_site_label
_atom_site_fract_x
_atom_site_fract_y
_atom_site_fract_z
Na1 0.000 0.000 0.000
Re1 0.500 0.500 0.500
S1 0.000 0.000 0.500
N1 0.000 0.500 0.000
# **Calculated density**: 5.5 g/cm³
# **Spin magnetization**: 0.178 μB/cell



Entry b
# GGA-PBE NaReSN2, relaxed
data_NaReSN2
_symmetry_space_group_name_H-M 'P 4/m m m'
_symmetry_Int_Tables_number 123
_symmetry_space_group_name_Hall '-P 4 2'
_cell_length_a 3.865
_cell_length_b 3.865
_cell_length_c 4.966
_cell_angle_alpha 90.00
_cell_angle_beta 90.00
_cell_angle_gamma 90.00
loop_
_atom_site_label
_atom_site_fract_x
_atom_site_fract_y
_atom_site_fract_z
Na1 0.000 0.000 0.000
Re1 0.500 0.500 0.500
S1 0.500 0.500 0.000
N1 0.000 0.500 0.500
# **Calculated density**: 6.0 g/cm³
# **Spin magnetization**: 0.000 μB/cell



Stability ranking, top and bottom: entry b is the most stable and entry a is the least stable.



Entry a
# GGA-PBE NaReSeN2, relaxed
data_NaReSeN2
_symmetry_space_group_name_H-M 'P 4/m m m'
_symmetry_Int_Tables_number 123
_symmetry_space_group_name_Hall '-P 4 2'
_cell_length_a 3.945
_cell_length_b 3.945
_cell_length_c 4.831
_cell_angle_alpha 90.00
_cell_angle_beta 90.00
_cell_angle_gamma 90.00
loop_
_atom_site_label
_atom_site_fract_x
_atom_site_fract_y
_atom_site_fract_z
Na1 0.000 0.000 0.000
Re1 0.500 0.500 0.500
Se1 0.000 0.000 0.500
N1 0.000 0.500 0.000
# **Calculated density**: 7.0 g/cm³
# **Spin magnetization**: 0.000 μB/cell



Entry b
# GGA-PBE NaReSeN2, relaxed
data_NaReSeN2
_symmetry_space_group_name_H-M 'P 4/m m m'
_symmetry_Int_Tables_number 123
_symmetry_space_group_name_Hall '-P 4 2'
_cell_length_a 3.879
_cell_length_b 3.879
_cell_length_c 5.318
_cell_angle_alpha 90.00
_cell_angle_beta 90.00
_cell_angle_gamma 90.00
loop_
_atom_site_label
_atom_site_fract_x
_atom_site_fract_y
_atom_site_fract_z
Na1 0.000 0.000 0.000
Re1 0.500 0.500 0.500
Se1 0.500 0.500 0.000
N1 0.000 0.500 0.500
# **Calculated density**: 6.6 g/cm³
# **Spin magnetization**: 0.000 μB/cell



Stability ranking, top and bottom: entry b is the most stable and entry a is the least stable.



Entry a
# GGA-PBE NaReTeN2, relaxed
data_NaReTeN2
_symmetry_space_group_name_H-M 'P 4/m m m'
_symmetry_Int_Tables_number 123
_symmetry_space_group_name_Hall '-P 4 2'
_cell_length_a 4.038
_cell_length_b 4.038
_cell_length_c 5.162
_cell_angle_alpha 90.00
_cell_angle_beta 90.00
_cell_angle_gamma 90.00
loop_
_atom_site_label
_atom_site_fract_x
_atom_site_fract_y
_atom_site_fract_z
Na1 0.000 0.000 0.000
Re1 0.500 0.500 0.500
Te1 0.000 0.000 0.500
N1 0.000 0.500 0.000
# **Calculated density**: 7.2 g/cm³
# **Spin magnetization**: 0.000 μB/cell



Entry b
# GGA-PBE NaReTeN2, relaxed
data_NaReTeN2
_symmetry_space_group_name_H-M 'P 4/m m m'
_symmetry_Int_Tables_number 123
_symmetry_space_group_name_Hall '-P 4 2'
_cell_length_a 3.929
_cell_length_b 3.929
_cell_length_c 5.716
_cell_angle_alpha 90.00
_cell_angle_beta 90.00
_cell_angle_gamma 90.00
loop_
_atom_site_label
_atom_site_fract_x
_atom_site_fract_y
_atom_site_fract_z
Na1 0.000 0.000 0.000
Re1 0.500 0.500 0.500
Te1 0.500 0.500 0.000
N1 0.000 0.500 0.500
# **Calculated density**: 6.9 g/cm³
# **Spin magnetization**: 0.115 μB/cell



Stability ranking, top and bottom: entry b is the most stable and entry a is the least stable.